# 1
DFT (meta-GGA SCAN) results for a PBEsol-optimized structure of TePIO2.

```
data_TePIO2
_space_group_name_H-M_alt 'P 4/m m m'
_space_group_IT_number 123
_space_group_name_Hall '-P 4 2'
_cell_length_a 3.917
_cell_length_b 3.917
_cell_length_c 5.801
_cell_angle_alpha 90.00
_cell_angle_beta 90.00
_cell_angle_gamma 90.00
loop_
_atom_site_label
_atom_site_fract_x
_atom_site_fract_y
_atom_site_fract_z
Te1 0.000 0.000 0.000
P1 0.500 0.500 0.500
I1 0.500 0.500 0.000
O1 0.000 0.500 0.500
```

Calculated values
As for the density of states at the Fermi level: 3.145 states/eV per cell. The calculation puts the volume at 89 Å³/f.u. Its mass density is 5.924 g/cm3. The energy relative to the elements, uncorrected is 0.253 eV per atom.

# 2
DFT (meta-GGA SCAN) results for a PBEsol-optimized structure of TiPIO2.

```
data_TiPIO2
_space_group_name_H-M_alt 'P 4/m m m'
_space_group_IT_number 123
_space_group_name_Hall '-P 4 2'
_cell_length_a 3.784
_cell_length_b 3.784
_cell_length_c 6.172
_cell_angle_alpha 90.00
_cell_angle_beta 90.00
_cell_angle_gamma 90.00
loop_
_atom_site_label
_atom_site_fract_x
_atom_site_fract_y
_atom_site_fract_z
Ti1 0.000 0.000 0.000
P1 0.500 0.500 0.500
I1 0.000 0.000 0.500
O1 0.000 0.500 0.000
```

Calculated values
As for the density of states at the Fermi level: 2.865 states/eV per cell. The calculation puts the volume at 88 Å³/f.u. Its mass density is 4.468 g/cm3. The energy relative to the elements, uncorrected is -1.010 eV per atom.

# 3
DFT (meta-GGA SCAN) results for a PBEsol-optimized structure of TlP2IO.

```
data_TlP2IO
_space_group_name_H-M_alt 'P 4/m m m'
_space_group_IT_number 123
_space_group_name_Hall '-P 4 2'
_cell_length_a 4.123
_cell_length_b 4.123
_cell_length_c 6.520
_cell_angle_alpha 90.00
_cell_angle_beta 90.00
_cell_angle_gamma 90.00
loop_
_atom_site_label
_atom_site_fract_x
_atom_site_fract_y
_atom_site_fract_z
Tl1 0.000 0.000 0.000
P1 0.000 0.500 0.500
I1 0.500 0.500 0.000
O1 0.500 0.500 0.500
```

Calculated values
As for the density of states at the Fermi level: 3.225 states/eV per cell. The calculation puts the volume at 111 Å³/f.u. Its mass density is 6.130 g/cm3. The energy relative to the elements, uncorrected is 0.527 eV per atom.

# 4
DFT (meta-GGA SCAN) results for a PBEsol-optimized structure of TlP2IO.

```
data_TlP2IO
_space_group_name_H-M_alt 'P 4/m m m'
_space_group_IT_number 123
_space_group_name_Hall '-P 4 2'
_cell_length_a 5.162
_cell_length_b 5.162
_cell_length_c 4.118
_cell_angle_alpha 90.00
_cell_angle_beta 90.00
_cell_angle_gamma 90.00
loop_
_atom_site_label
_atom_site_fract_x
_atom_site_fract_y
_atom_site_fract_z
Tl1 0.000 0.000 0.000
P1 0.000 0.500 0.000
I1 0.500 0.500 0.500
O1 0.000 0.000 0.500
```

Calculated values
As for the density of states at the Fermi level: 3.295 states/eV per cell. The calculation puts the volume at 110 Å³/f.u. Its mass density is 6.193 g/cm3. The energy relative to the elements, uncorrected is 0.987 eV per atom.

# 5
DFT (meta-GGA SCAN) results for a PBEsol-optimized structure of PWI2O.

```
data_PWI2O
_space_group_name_H-M_alt 'P 4/m m m'
_space_group_IT_number 123
_space_group_name_Hall '-P 4 2'
_cell_length_a 5.351
_cell_length_b 5.351
_cell_length_c 3.387
_cell_angle_alpha 90.00
_cell_angle_beta 90.00
_cell_angle_gamma 90.00
loop_
_atom_site_label
_atom_site_fract_x
_atom_site_fract_y
_atom_site_fract_z
P1 0.000 0.000 0.000
W1 0.500 0.500 0.500
I1 0.000 0.500 0.000
O1 0.000 0.000 0.500
```

Calculated values
As for the density of states at the Fermi level: 2.154 states/eV per cell. The calculation puts the volume at 97 Å³/f.u. Its mass density is 8.296 g/cm3. The energy relative to the elements, uncorrected is 0.882 eV per atom.

# 6
DFT (meta-GGA SCAN) results for a PBEsol-optimized structure of P2WIO.

```
data_P2WIO
_space_group_name_H-M_alt 'P 4/m m m'
_space_group_IT_number 123
_space_group_name_Hall '-P 4 2'
_cell_length_a 4.864
_cell_length_b 4.864
_cell_length_c 3.811
_cell_angle_alpha 90.00
_cell_angle_beta 90.00
_cell_angle_gamma 90.00
loop_
_atom_site_label
_atom_site_fract_x
_atom_site_fract_y
_atom_site_fract_z
P1 0.000 0.500 0.000
W1 0.000 0.000 0.000
I1 0.500 0.500 0.500
O1 0.000 0.000 0.500
```

Calculated values
As for the density of states at the Fermi level: 2.338 states/eV per cell. The calculation puts the volume at 90 Å³/f.u. Its mass density is 7.159 g/cm3. The energy relative to the elements, uncorrected is -0.088 eV per atom.

The lowest energy relative to the elements, uncorrected belongs to which entry?
TiPIO2

Among the records above, which one has the highest energy relative to the elements, uncorrected?
number 4